Li5Ga2Ru: optimized geometry, PBE-GGA.

a b c (Å): 5.447 10.744 4.079
angles (deg): 90.00 90.00 90.00
Element x y z (fractional)
Li  0.000  0.000  0.000
Li  0.105  0.244  0.000
Li  0.197  0.873  0.500
Li  0.303  0.373  0.500
Li  0.395  0.744  0.000
Li  0.500  0.500  0.000
Li  0.605  0.256  0.000
Li  0.697  0.627  0.500
Li  0.803  0.127  0.500
Li  0.895  0.756  0.000
Ga  0.175  0.611  0.500
Ga  0.325  0.111  0.500
Ga  0.675  0.889  0.500
Ga  0.825  0.389  0.500
Ru  0.000  0.500  0.000
Ru  0.500  0.000  0.000

Output
volume	238.71	Å³/cell
density	3.8	g/cm³
formation energy	-188.1	meV per atom